Entry 1:
This record from Alexandria describes an optimized crystal structure of LaMgCo2Pd. The functional is GGA-PBE.

- Mass density: 5.7 g/cm3
- Crystal system: tetragonal
- Space group: P4/mmm
- N(E_F): 2.236 states/eV per atom
- E_form: 1.334 eV/atom

```
LaMgCo2Pd
1.0
4.435 0.000 0.000
0.000 5.695 0.000
0.000 0.000 4.435
Co Mg Pd La
2 1 1 1
direct
0.500 0.000 0.000
0.000 0.000 0.500
0.000 0.500 0.000
0.500 0.500 0.500
0.000 0.000 0.000
```


Entry 2:
This record from Alexandria describes an optimized crystal structure of PmPr2Sm4Sc. The functional is GGA-PBE.

- Mass density: 6.7 g/cm3
- Crystal system: tetragonal
- Space group: P4/mmm
- N(E_F): 1.479 states/eV per atom
- E_form: 0.031 eV/atom

```
PmPr2Sm4Sc
1.0
-3.208 -3.823 1.035
2.784 -1.228 4.090
-2.867 5.067 9.829
Sm Sc Pr Pm
4 1 2 1
direct
0.500 0.743 0.256
0.000 0.757 0.744
0.000 0.243 0.256
0.500 0.257 0.744
0.000 0.500 0.500
0.000 0.000 0.000
0.500 0.000 0.500
0.500 0.500 0.000
```


Entry 3:
This record from Alexandria describes an optimized crystal structure of MgAsCl2. The functional is GGA-PBE.

- Formation energy (no corrections): -74 meV/atom
- Relative energy among the computed polymorphs: 813 meV per atom
- Mass density: 3.4 g/cm3
- Crystal system: cubic
- Space group: Fm-3m
- N(E_F): 1.036 states/eV per atom

```
MgAsCl2
1.0
0.000 3.476 3.476
3.476 0.000 3.476
3.476 3.476 0.000
Cl As Mg
2 1 1
direct
0.250 0.250 0.250
0.750 0.750 0.750
0.500 0.500 0.500
0.000 0.000 0.000
```


Entry 4:
This record from Alexandria describes an optimized crystal structure of TlHg2P. The functional is GGA-PBE.

- Relative energy among the computed polymorphs: 60 meV per atom
- Mass density: 10.2 g/cm3
- Crystal system: monoclinic
- Space group: P2/m
- N(E_F): 0.561 states/eV per atom
- E_form: 0.205 eV/atom

```
TlHg2P
1.0
-0.845 4.133 -0.453
-4.937 -1.015 -0.047
-1.807 0.156 4.795
Tl Hg P
1 2 1
direct
0.500 0.750 0.750
0.000 0.453 0.457
0.000 0.047 0.043
0.500 0.250 0.250
```


Entry 5:
This record from Alexandria describes an optimized crystal structure of NaIn6Au12. The functional is GGA-PBE.

- Relative energy among the computed polymorphs: 0 meV per atom
- Mass density: 13.0 g/cm3
- Crystal system: trigonal
- Space group: R-3
- N(E_F): 0.325 states/eV per atom
- E_form: -0.138 eV/atom

```
NaIn6Au12
1.0
8.301 -0.005 2.663
-3.869 6.244 2.546
0.566 -0.003 7.751
Au In Na
12 6 1
direct
0.412 0.130 0.729
0.588 0.870 0.271
0.718 0.859 0.870
0.071 0.361 0.079
0.929 0.639 0.921
0.859 0.271 0.859
0.710 0.560 0.362
0.141 0.729 0.141
0.282 0.141 0.130
0.290 0.440 0.638
0.850 0.922 0.440
0.150 0.078 0.560
0.160 0.730 0.492
0.571 0.222 0.269
0.348 0.508 0.222
0.429 0.778 0.731
0.652 0.492 0.778
0.840 0.270 0.508
0.000 0.000 0.000
```


Entry 6:
This record from Alexandria describes an optimized crystal structure of Ca2BiBr. The functional is GGA-PBE.

- Formation energy (no corrections): -1023 meV/atom
- Mass density: 3.6 g/cm3
- Crystal system: tetragonal
- Space group: I-42d
- N(E_F): 0.000 states/eV per atom

```
Ca2BiBr
1.0
6.717 0.000 0.000
0.000 6.717 0.000
3.359 3.359 7.602
Br Bi Ca
2 2 4
direct
0.250 0.750 0.500
0.500 0.500 0.000
0.000 0.000 0.000
0.750 0.250 0.500
0.127 0.625 0.250
0.375 0.377 0.750
0.875 0.873 0.750
0.623 0.125 0.250
```


Entry 7:
This record from Alexandria describes an optimized crystal structure of AlRe2Mo. The functional is GGA-PBE.

- Mass density: 13.7 g/cm3
- Crystal system: orthorhombic
- Space group: Pmmm
- N(E_F): 0.712 states/eV per atom
- E_form: 0.020 eV/atom

```
AlRe2Mo
1.0
-1.417 2.662 0.606
-3.671 -1.484 -2.068
-1.460 -1.634 3.763
Re Mo Al
2 1 1
direct
0.500 0.500 0.000
0.000 0.000 0.000
0.000 0.500 0.500
0.500 0.000 0.500
```


Entry 8:
This record from Alexandria describes an optimized crystal structure of Zr3Tl3FeSe8. The functional is GGA-PBE.

- Formation energy (no corrections): -870 meV/atom
- Mass density: 6.4 g/cm3
- Crystal system: trigonal
- Space group: R-3m
- N(E_F): 0.589 states/eV per atom

```
Zr3Tl3FeSe8
1.0
7.661 0.000 0.000
-3.831 6.636 -0.030
0.000 -4.389 8.034
Tl Zr Se Fe
3 3 8 1
direct
0.000 0.500 0.000
0.500 0.500 0.000
0.000 0.000 0.000
0.500 0.000 0.500
0.500 0.500 0.500
0.000 0.500 0.500
0.228 0.966 0.693
0.738 0.966 0.693
0.228 0.456 0.693
0.266 0.532 0.298
0.772 0.034 0.307
0.772 0.544 0.307
0.734 0.468 0.702
0.262 0.034 0.307
0.000 0.000 0.500
```